# 1
A plane-wave DFT calculation with PBE-GGA was carried out for a relaxed Fe2CuS4 crystal.

## Properties
ΔE_f (raw) ... -0.3678 eV per atom
Size of the total moment ... 5.56 μB per cell
Fermi-level density of states ... 1.314 states/eV/atom

```
Fe2CuS4
1.0
5.855 -0.037 3.348
-1.876 5.546 3.348
0.028 0.039 6.747
Fe Cu S
4 2 8
direct
0.500 0.500 0.500 Fe
0.500 0.000 0.500 Fe
0.000 0.000 0.000 Fe
0.500 0.000 0.000 Fe
0.875 0.625 0.750 Cu
0.125 0.375 0.250 Cu
0.261 0.783 0.978 S
0.739 0.217 0.022 S
0.283 0.761 0.478 S
0.261 0.239 0.522 S
0.261 0.239 0.978 S
0.739 0.761 0.478 S
0.717 0.239 0.522 S
0.739 0.761 0.022 S
```

=====

# 2
A plane-wave DFT calculation with PBE-GGA was carried out for a relaxed Be2VGe crystal.

## Properties
Size of the total moment ... 0.00 μB per cell
Fermi-level density of states ... 0.477 states/eV/atom
Formation enthalpy at 0 K ... -92 meV/atom

```
Be2VGe
1.0
-2.520 0.976 -2.177
-2.454 -1.335 2.242
-0.207 3.168 1.659
Be Ge V
2 1 1
direct
0.000 0.000 0.500 Be
0.000 0.500 0.000 Be
0.500 0.000 0.000 Ge
0.500 0.500 0.500 V
```

=====

# 3
A plane-wave DFT calculation with PBE-GGA was carried out for a relaxed RuRhW2 crystal.

## Properties
Size of the total moment ... 0.00 μB per cell
Offset from the most stable computed form ... 0.179 eV per atom
Fermi-level density of states ... 0.553 states/eV/atom
Formation enthalpy at 0 K ... 99 meV/atom

```
RuRhW2
1.0
-2.294 4.484 7.776
-4.403 2.667 7.704
-1.971 1.933 8.844
Rh Ru W
1 1 2
direct
0.501 0.501 0.501 Rh
0.749 0.749 0.749 Ru
0.004 0.004 0.004 W
0.246 0.246 0.246 W
```

=====

# 4
A plane-wave DFT calculation with PBE-GGA was carried out for a relaxed BaLiGaPb crystal.

## Properties
Size of the total moment ... 0.00 μB per cell
Fermi-level density of states ... 0.482 states/eV/atom
Formation enthalpy at 0 K ... -286 meV/atom

```
BaLiGaPb
1.0
-2.344 4.299 2.329
-0.999 -0.012 5.329
2.875 3.196 3.305
Pb Ba Ga Li
1 1 1 1
direct
0.000 0.000 0.000 Pb
0.500 0.500 0.500 Ba
0.250 0.250 0.250 Ga
0.750 0.750 0.750 Li
```

=====

# 5
A plane-wave DFT calculation with PBE-GGA was carried out for a relaxed TbPm2Ga crystal.

## Properties
Size of the total moment ... 0.00 μB per cell
Offset from the most stable computed form ... 0.026 eV per atom
Fermi-level density of states ... 1.631 states/eV/atom
Formation enthalpy at 0 K ... -235 meV/atom

```
TbPm2Ga
1.0
-0.491 0.237 -4.794
-2.234 -4.238 0.019
-4.210 2.221 0.541
Tb Ga Pm
1 1 2
direct
0.500 0.500 0.500 Tb
0.500 0.000 0.000 Ga
0.000 0.000 0.500 Pm
0.000 0.500 0.000 Pm
```

=====

# 6
A plane-wave DFT calculation with PBE-GGA was carried out for a relaxed Ag2MoRh crystal.

## Properties
Size of the total moment ... 0.23 μB per cell
Offset from the most stable computed form ... 0.300 eV per atom
Fermi-level density of states ... 0.882 states/eV/atom
Formation enthalpy at 0 K ... 418 meV/atom

```
Ag2MoRh
1.0
2.714 0.000 0.000
0.000 2.714 0.000
0.000 0.000 8.772
Ag Mo Rh
2 1 1
direct
0.000 0.000 0.994 Ag
0.000 0.000 0.506 Ag
0.500 0.500 0.250 Mo
0.500 0.500 0.750 Rh
```

=====

# 7
A plane-wave DFT calculation with PBE-GGA was carried out for a relaxed InFeRuPt crystal.

## Properties
Size of the total moment ... 4.23 μB per cell
Fermi-level density of states ... 0.694 states/eV/atom
Formation enthalpy at 0 K ... -52 meV/atom

```
InFeRuPt
1.0
-4.187 -0.321 -1.500
-0.947 -2.726 -3.400
-2.345 -3.725 0.715
Ru Fe Pt In
1 1 1 1
direct
0.000 0.000 0.000 Ru
0.750 0.750 0.750 Fe
0.500 0.500 0.500 Pt
0.250 0.250 0.250 In
```

=====

# 8
A plane-wave DFT calculation with PBE-GGA was carried out for a relaxed Tm2Al3Au9 crystal.

## Properties
Size of the total moment ... 0.00 μB per cell
Fermi-level density of states ... 0.404 states/eV/atom
Formation enthalpy at 0 K ... -601 meV/atom

```
Tm2Al3Au9
1.0
-4.668 4.794 -4.178
7.219 -1.769 -2.643
-2.988 -10.288 -1.120
Tm Al Au
4 6 18
direct
0.337 0.249 0.752 Tm
0.663 0.751 0.248 Tm
0.997 0.585 0.748 Tm
0.003 0.415 0.252 Tm
0.500 0.000 0.000 Al
0.500 0.500 0.500 Al
0.848 0.175 0.501 Al
0.152 0.825 0.499 Al
0.174 0.347 0.999 Al
0.826 0.653 0.001 Al
0.433 0.918 0.746 Au
0.567 0.082 0.254 Au
0.672 0.687 0.754 Au
0.328 0.313 0.246 Au
0.448 0.641 0.928 Au
0.552 0.359 0.072 Au
0.213 0.521 0.572 Au
0.787 0.479 0.428 Au
0.901 0.151 0.750 Au
0.099 0.849 0.250 Au
0.125 0.978 0.923 Au
0.875 0.022 0.077 Au
0.555 0.202 0.577 Au
0.445 0.798 0.423 Au
0.876 0.855 0.566 Au
0.124 0.145 0.434 Au
0.789 0.310 0.934 Au
0.211 0.690 0.066 Au
```